A relaxed structure of GdYEr, computed with PBE.

```
12
Lattice="7.6515 0.0000 0.0000 0.0000 7.6515 0.0000 0.0000 0.0000 7.6515" Properties=species:S:1:pos:R:3 pbc="T T T"
Gd 0.0000 0.0000 0.0000
Gd 0.0000 3.8258 3.8258
Gd 3.8258 0.0000 3.8258
Gd 3.8258 3.8258 0.0000
Y 0.0000 0.0000 3.8258
Y 0.0000 3.8258 0.0000
Y 3.8258 0.0000 0.0000
Y 3.8258 3.8258 3.8258
Er 1.9129 1.9129 1.9129
Er 1.9129 5.7386 5.7386
Er 5.7386 1.9129 5.7386
Er 5.7386 5.7386 1.9129
```

Properties
- space group = F-43m (216)
- magnetization (Bohr magnetons per cell) = 0.09
- offset from the most stable computed form (eV per formula unit) = 0.00
- calculated formation energy (eV/atom) = 0.721